Record 1
A relaxed structure of Ti2Al3Fe3, computed with PBE.

The structure in CIF format:
```
data_Ti2Al3Fe3
_cell_length_a 3.0302
_cell_length_b 4.2310
_cell_length_c 16.4519
_cell_angle_alpha 90.00
_cell_angle_beta 90.00
_cell_angle_gamma 90.00
_space_group_name_H-M_alt 'I m m m'
_space_group_IT_number 71
_space_group_name_Hall '-I 2 2'
loop_
_atom_site_label
_atom_site_fract_x
_atom_site_fract_y
_atom_site_fract_z
Ti1 0.0000 0.0000 0.2317
Al1 0.0000 0.0000 0.0000
Al2 0.0000 0.5000 0.1187
Fe1 0.0000 0.0000 0.5000
Fe2 0.0000 0.5000 0.3787
```

Computed properties:
Calculated total energy   -6.858 eV/atom
Size of the total moment   1.60 μB/cell
ΔE_f   -0.308 eV per atom

Record 2
A relaxed structure of TiAlFe, computed with PBE.

The structure in CIF format:
```
data_TiAlFe
_cell_length_a 6.8042
_cell_length_b 3.8751
_cell_length_c 4.2529
_cell_angle_alpha 90.00
_cell_angle_beta 122.51
_cell_angle_gamma 90.00
_space_group_name_H-M_alt 'C 1 m 1'
_space_group_IT_number 8
loop_
_space_group_symop_operation_xyz
'x,y,z'
'x,-y,z'
'x+1/2,y+1/2,z'
'x+1/2,-y+1/2,z'
loop_
_atom_site_label
_atom_site_fract_x
_atom_site_fract_y
_atom_site_fract_z
Ti1 0.0000 0.0000 0.0000
Al1 0.4892 0.0000 0.4742
Fe1 0.2550 0.0000 0.7664
```

Computed properties:
Calculated total energy   -6.720 eV/atom
Size of the total moment   0.00 μB/cell
ΔE_f   -0.019 eV per atom

Record 3
A relaxed structure of Ti2Al2Fe3, computed with PBE.

The structure in CIF format:
```
data_Ti2Al2Fe3
_cell_length_a 7.2110
_cell_length_b 4.1668
_cell_length_c 6.9067
_cell_angle_alpha 90.00
_cell_angle_beta 110.48
_cell_angle_gamma 90.00
_space_group_name_H-M_alt 'C 1 2/m 1'
_space_group_IT_number 12
loop_
_space_group_symop_operation_xyz
'x,y,z'
'-x,-y,-z'
'-x,y,-z'
'x,-y,z'
'x+1/2,y+1/2,z'
'-x+1/2,-y+1/2,-z'
'-x+1/2,y+1/2,-z'
'x+1/2,-y+1/2,z'
loop_
_atom_site_label
_atom_site_fract_x
_atom_site_fract_y
_atom_site_fract_z
Ti1 0.1170 0.0000 0.3525
Al1 0.1308 0.5000 0.8913
Fe1 0.0000 0.5000 0.5000
Fe2 0.2428 0.0000 0.7288
```

Computed properties:
Calculated total energy   -7.222 eV/atom
Size of the total moment   3.75 μB/cell
ΔE_f   -0.270 eV per atom